VASP calculation (meta-GGA SCAN) on a PBEsol-optimized structure of SrAg2As.

a b c (Å): 4.322 4.322 4.649
angles (deg): 90.00 90.00 90.00
Element x y z (fractional)
Sr 0.000 0.000 0.500
As 0.500 0.500 0.500
Ag 0.000 0.500 0.000
Ag 0.500 0.000 0.000

Calculated values
- Formation energy from the elements: -0.22 eV/atom


VASP calculation (meta-GGA SCAN) on a PBEsol-optimized structure of SrAgAs2.

a b c (Å): 4.268 4.268 5.641
angles (deg): 112.23 112.23 90.00
Element x y z (fractional)
Sr 0.500 0.500 0.000
As 0.000 0.000 0.000
As 0.750 0.250 0.500
Ag 0.250 0.750 0.500

Calculated values
- Formation energy from the elements: -0.24 eV/atom


VASP calculation (meta-GGA SCAN) on a PBEsol-optimized structure of SrAg2As2.

a b c (Å): 4.313 4.313 6.517
angles (deg): 109.32 109.32 90.00
Element x y z (fractional)
Sr 0.000 0.000 0.000
As 0.387 0.387 0.775
As 0.613 0.613 0.225
Ag 0.250 0.750 0.500
Ag 0.750 0.250 0.500

Calculated values
- Formation energy from the elements: -0.53 eV/atom


VASP calculation (meta-GGA SCAN) on a PBEsol-optimized structure of Ta2AgAs.

a b c (Å): 2.779 5.046 5.363
angles (deg): 115.05 90.00 90.00
Element x y z (fractional)
As 0.000 0.500 0.500
Ag 0.500 0.500 0.000
Ta 0.000 0.000 0.000
Ta 0.500 0.000 0.500

Calculated values
- Formation energy from the elements: 0.31 eV/atom


VASP calculation (meta-GGA SCAN) on a PBEsol-optimized structure of Ta2AgAs.

a b c (Å): 2.905 2.905 9.399
angles (deg): 81.11 81.11 60.00
Element x y z (fractional)
As 0.000 0.000 0.000
Ag 0.500 0.500 0.500
Ta 0.254 0.254 0.239
Ta 0.746 0.746 0.761

Calculated values
- Formation energy from the elements: 0.25 eV/atom


VASP calculation (meta-GGA SCAN) on a PBEsol-optimized structure of TaAgAs3.

a b c (Å): 4.925 4.925 4.925
angles (deg): 90.00 90.00 90.00
Element x y z (fractional)
As 0.000 0.500 0.000
As 0.000 0.000 0.500
As 0.500 0.000 0.000
Ag 0.500 0.500 0.500
Ta 0.000 0.000 0.000

Calculated values
- Formation energy from the elements: 0.47 eV/atom


VASP calculation (meta-GGA SCAN) on a PBEsol-optimized structure of Ta2AgAs.

a b c (Å): 4.054 4.054 4.967
angles (deg): 114.09 114.09 90.00
Element x y z (fractional)
As 0.000 0.000 0.000
Ag 0.500 0.500 0.000
Ta 0.750 0.250 0.500
Ta 0.250 0.750 0.500

Calculated values
- Formation energy from the elements: 0.19 eV/atom


VASP calculation (meta-GGA SCAN) on a PBEsol-optimized structure of Tc2AgAs.

a b c (Å): 2.974 4.493 4.527
angles (deg): 90.00 90.00 90.00
Element x y z (fractional)
As 0.000 0.500 0.500
Tc 0.000 0.000 0.000
Tc 0.500 0.500 0.000
Ag 0.500 0.000 0.500

Calculated values
- Formation energy from the elements: 0.60 eV/atom


Question: Among the records above, which one has the lowest formation energy from the elements?
Answer: SrAg2As2


Copy entry 5 word for word.
VASP calculation (meta-GGA SCAN) on a PBEsol-optimized structure of Ta2AgAs.

a b c (Å): 2.905 2.905 9.399
angles (deg): 81.11 81.11 60.00
Element x y z (fractional)
As 0.000 0.000 0.000
Ag 0.500 0.500 0.500
Ta 0.254 0.254 0.239
Ta 0.746 0.746 0.761

Calculated values
- Formation energy from the elements: 0.25 eV/atom


Question: Which value of formation energy from the elements does entry 2 give?
Answer: -0.24 eV/atom